{
  "formula": "WSNF2",
  "functional": "PBE with a Hubbard U",
  "state": "relaxed",
  "crystal_system": "tetragonal",
  "spacegroup": "P4/mmm",
  "total_magnetization_mub_per_fu": 3.298,
  "energy_ev_per_cell": -25.84,
  "cell": [[4.225, 0.000, 0.000], [0.000, 4.225, 0.000], [0.000, 0.000, 4.028]],
  "species": ["W", "S", "N", "F", "F"],
  "fractional_positions": [[0.000, 0.000, 0.000], [0.500, 0.500, 0.500], [0.000, 0.000, 0.500], [0.000, 0.500, 0.000], [0.500, 0.000, 0.000]]
}